Record 1
{
  "formula": "Li4NiAgPb2",
  "functional": "GGA-PBE",
  "state": "relaxed",
  "crystal_system": "tetragonal",
  "m_tot_mub_per_fu": 0.01,
  "rho_kg_m3": 7350,
  "total_energy_ev_per_atom": -3.161,
  "lattice_angstrom": [[4.5730, 0.0000, 0.0000], [0.0000, 4.5730, 0.0000], [0.0000, 0.0000, 6.5767]],
  "species": ["Ag", "Li", "Li", "Li", "Li", "Ni", "Pb", "Pb"],
  "fractional_positions": [[0.0000, 0.0000, 0.0000], [0.5000, 0.5000, 0.0000], [0.5000, 0.0000, 0.2595], [0.0000, 0.0000, 0.5000], [0.0000, 0.5000, 0.7405], [0.5000, 0.5000, 0.5000], [0.0000, 0.5000, 0.2770], [0.5000, 0.0000, 0.7230]]
}

***

Record 2
{
  "formula": "LiNiAgS3",
  "functional": "GGA-PBE",
  "state": "relaxed",
  "crystal_system": "orthorhombic",
  "m_tot_mub_per_fu": 0.01,
  "rho_kg_m3": 4373,
  "total_energy_ev_per_atom": -4.032,
  "lattice_angstrom": [[1.6636, -6.3872, 0.0000], [1.6636, 6.3872, 0.0000], [0.0000, 0.0000, 9.6380]],
  "species": ["Ag", "Ag", "Li", "Li", "Ni", "Ni", "S", "S", "S", "S", "S", "S"],
  "fractional_positions": [[0.8620, 0.1380, 0.2500], [0.1380, 0.8620, 0.7500], [0.1796, 0.8204, 0.2500], [0.8204, 0.1796, 0.7500], [0.5000, 0.5000, 0.0000], [0.5000, 0.5000, 0.5000], [0.8795, 0.1205, 0.0037], [0.5413, 0.4587, 0.2500], [0.8795, 0.1205, 0.4963], [0.1205, 0.8795, 0.5037], [0.4587, 0.5413, 0.7500], [0.1205, 0.8795, 0.9963]]
}

***

Record 3
{
  "formula": "LiNiAgSeS2",
  "functional": "GGA-PBE",
  "state": "relaxed",
  "crystal_system": "orthorhombic",
  "m_tot_mub_per_fu": 0.00,
  "rho_kg_m3": 4847,
  "total_energy_ev_per_atom": -3.946,
  "lattice_angstrom": [[1.2750, 3.0237, -6.1068], [-4.0989, -3.3387, 4.4848], [-3.0491, 8.6239, 3.6333]],
  "species": ["Ag", "Ag", "Li", "Li", "Ni", "Ni", "S", "S", "S", "S", "Se", "Se"],
  "fractional_positions": [[0.8580, 0.1420, 0.2500], [0.1420, 0.8580, 0.7500], [0.1883, 0.8117, 0.2500], [0.8117, 0.1883, 0.7500], [0.5000, 0.5000, 0.0000], [0.5000, 0.5000, 0.5000], [0.8832, 0.1168, 0.0076], [0.8832, 0.1168, 0.4924], [0.1168, 0.8832, 0.5076], [0.1168, 0.8832, 0.9924], [0.5445, 0.4555, 0.2500], [0.4555, 0.5445, 0.7500]]
}

***

Record 4
{
  "formula": "LiNiAgTe2S",
  "functional": "GGA-PBE",
  "state": "relaxed",
  "crystal_system": "orthorhombic",
  "m_tot_mub_per_fu": 0.00,
  "rho_kg_m3": 5976,
  "total_energy_ev_per_atom": -3.648,
  "lattice_angstrom": [[-1.8964, 5.5363, -2.6793], [-1.7561, -4.9063, 3.7775], [3.5313, 5.3957, 8.6498]],
  "species": ["Ag", "Ag", "Li", "Li", "Ni", "Ni", "S", "S", "Te", "Te", "Te", "Te"],
  "fractional_positions": [[0.9103, 0.0897, 0.2500], [0.0897, 0.9103, 0.7500], [0.1872, 0.8128, 0.2500], [0.8128, 0.1872, 0.7500], [0.5000, 0.5000, 0.0000], [0.5000, 0.5000, 0.5000], [0.5579, 0.4421, 0.2500], [0.4421, 0.5579, 0.7500], [0.8625, 0.1375, 0.0080], [0.8625, 0.1375, 0.4920], [0.1375, 0.8625, 0.5080], [0.1375, 0.8625, 0.9920]]
}

***

Record 5
{
  "formula": "LiNiAgSb",
  "functional": "GGA-PBE",
  "state": "relaxed",
  "crystal_system": "cubic",
  "m_tot_mub_per_fu": 0.00,
  "rho_kg_m3": 7870,
  "total_energy_ev_per_atom": -3.831,
  "lattice_angstrom": [[-4.3424, -0.9586, -0.1543], [-2.8842, 2.3440, 2.4467], [-2.8292, 2.8073, -1.9785]],
  "species": ["Ag", "Li", "Ni", "Sb"],
  "fractional_positions": [[0.5000, 0.5000, 0.5000], [0.2500, 0.2500, 0.2500], [0.7500, 0.7500, 0.7500], [0.0000, 0.0000, 0.0000]]
}

***

Record 6
{
  "formula": "LiNiAgSe3",
  "functional": "GGA-PBE",
  "state": "relaxed",
  "crystal_system": "orthorhombic",
  "m_tot_mub_per_fu": 0.01,
  "rho_kg_m3": 5932,
  "total_energy_ev_per_atom": -3.684,
  "lattice_angstrom": [[-6.1087, 2.0224, 1.9247], [-6.0689, -1.3253, 2.5541], [3.6195, 1.8396, 9.5548]],
  "species": ["Ag", "Ag", "Li", "Li", "Ni", "Ni", "Se", "Se", "Se", "Se", "Se", "Se"],
  "fractional_positions": [[0.4655, 0.4655, 0.2500], [0.5345, 0.5345, 0.7500], [0.7863, 0.7863, 0.2500], [0.2137, 0.2137, 0.7500], [0.0000, 0.0000, 0.0000], [0.0000, 0.0000, 0.5000], [0.3739, 0.3739, 0.0299], [0.1265, 0.1265, 0.2500], [0.3739, 0.3739, 0.4701], [0.6261, 0.6261, 0.5299], [0.8735, 0.8735, 0.7500], [0.6261, 0.6261, 0.9701]]
}

***

Record 7
{
  "formula": "LiNiAgSn",
  "functional": "GGA-PBE",
  "state": "relaxed",
  "crystal_system": "cubic",
  "m_tot_mub_per_fu": 0.00,
  "rho_kg_m3": 7642,
  "polymorph_energy_ev_per_atom": 0.0478,
  "lattice_angstrom": [[3.8236, -1.0852, 2.0625], [1.4137, 2.4026, 3.5044], [-0.0983, -1.7681, 4.1129]],
  "species": ["Ag", "Li", "Ni", "Sn"],
  "fractional_positions": [[0.0000, 0.0000, 0.0000], [0.7500, 0.7500, 0.7500], [0.5000, 0.5000, 0.5000], [0.2500, 0.2500, 0.2500]]
}

***

Record 8
{
  "formula": "LiNiAgSn",
  "functional": "GGA-PBE",
  "state": "relaxed",
  "crystal_system": "cubic",
  "m_tot_mub_per_fu": 0.00,
  "rho_kg_m3": 7800,
  "polymorph_energy_ev_per_atom": 0.0000,
  "lattice_angstrom": [[0.0000, 3.1449, 3.1449], [3.1449, 0.0000, 3.1449], [3.1449, 3.1449, 0.0000]],
  "species": ["Ag", "Li", "Ni", "Sn"],
  "fractional_positions": [[0.5000, 0.5000, 0.5000], [0.7500, 0.7500, 0.7500], [0.2500, 0.2500, 0.2500], [0.0000, 0.0000, 0.0000]]
}

***

Record 9
{
  "formula": "LiNiAgTe",
  "functional": "GGA-PBE",
  "state": "relaxed",
  "crystal_system": "cubic",
  "m_tot_mub_per_fu": 0.00,
  "rho_kg_m3": 7304,
  "polymorph_energy_ev_per_atom": 0.1101,
  "lattice_angstrom": [[-1.3723, -4.3762, -0.2244], [-3.2220, -1.5465, 2.8830], [-4.1932, -1.0134, -1.5731]],
  "species": ["Ag", "Li", "Ni", "Te"],
  "fractional_positions": [[0.0000, 0.0000, 0.0000], [0.7500, 0.7500, 0.7500], [0.5000, 0.5000, 0.5000], [0.2500, 0.2500, 0.2500]]
}

***

Record 10
{
  "formula": "LiNiAgTe",
  "functional": "GGA-PBE",
  "state": "relaxed",
  "crystal_system": "cubic",
  "m_tot_mub_per_fu": 0.00,
  "rho_kg_m3": 7618,
  "polymorph_energy_ev_per_atom": 0.0000,
  "lattice_angstrom": [[2.4555, 0.6227, 3.7527], [1.3327, 4.1666, 1.1680], [-1.8417, 2.0406, 3.5979]],
  "species": ["Ag", "Li", "Ni", "Te"],
  "fractional_positions": [[0.5000, 0.5000, 0.5000], [0.7500, 0.7500, 0.7500], [0.2500, 0.2500, 0.2500], [0.0000, 0.0000, 0.0000]]
}

***

Record 11
{
  "formula": "LiNiAgTe3",
  "functional": "GGA-PBE",
  "state": "relaxed",
  "crystal_system": "orthorhombic",
  "m_tot_mub_per_fu": 0.00,
  "rho_kg_m3": 6788,
  "total_energy_ev_per_atom": -3.496,
  "lattice_angstrom": [[-0.2151, 6.8056, 0.8570], [-2.6656, 6.0236, -1.9252], [-7.9582, -1.1758, 7.3400]],
  "species": ["Ag", "Ag", "Li", "Li", "Ni", "Ni", "Te", "Te", "Te", "Te", "Te", "Te"],
  "fractional_positions": [[0.6141, 0.6141, 0.2500], [0.3859, 0.3859, 0.7500], [0.2763, 0.2763, 0.2500], [0.7237, 0.7237, 0.7500], [0.0000, 0.0000, 0.0000], [0.0000, 0.0000, 0.5000], [0.6343, 0.6343, 0.0044], [0.9436, 0.9436, 0.2500], [0.6343, 0.6343, 0.4956], [0.3657, 0.3657, 0.5044], [0.0564, 0.0564, 0.7500], [0.3657, 0.3657, 0.9956]]
}

***

Record 12
{
  "formula": "LiNiAgW",
  "functional": "GGA-PBE",
  "state": "relaxed",
  "crystal_system": "cubic",
  "m_tot_mub_per_fu": 0.00,
  "rho_kg_m3": 10409,
  "polymorph_energy_ev_per_atom": 0.0881,
  "lattice_angstrom": [[0.0000, 3.0546, 3.0546], [3.0546, 0.0000, 3.0546], [3.0546, 3.0546, 0.0000]],
  "species": ["Ag", "Li", "Ni", "W"],
  "fractional_positions": [[0.0000, 0.0000, 0.0000], [0.7500, 0.7500, 0.7500], [0.5000, 0.5000, 0.5000], [0.2500, 0.2500, 0.2500]]
}